No. 1
Here is a geometry-optimized InOs2Ru structure from Alexandria. Energies are from GGA-PBEsol.

Cell lengths 4.8197, 4.8197, 4.7444 Å; angles 99.65, 99.65, 33.64 degrees
With the nearest neighbours (Å) after each atom.
Fractional positions:
In  0.0000  0.0000  0.0000  6 Os 2.74-2.88, 4 Ru 2.75, 2 In 2.79
Os  0.2391  0.2391  0.7307  6 Os 2.63-2.89, 3 Ru 2.68-2.81, 3 In 2.74-2.88
Os  0.7609  0.7609  0.2693  6 Os 2.63-2.89, 3 Ru 2.68-2.81, 3 In 2.74-2.88
Ru  0.5000  0.5000  0.5000  6 Os 2.68-2.81, 4 In 2.75, 2 Ru 2.79

- E_form: 371 meV per atom
- Total magnetization: 0.001 μB/f.u.
- Final energy: -36.10 eV/cell


No. 2
Here is a geometry-optimized ZnCd2Ag structure from Alexandria. Energies are from GGA-PBEsol.

Cell lengths 5.0690, 5.0690, 5.0690 Å; angles 131.94, 131.94, 70.32 degrees
With the nearest neighbours (Å) after each atom.
Fractional positions:
Zn  0.0000  0.0000  0.0000  4 Ag 2.92, 8 Cd 2.92
Cd  0.2500  0.7500  0.5000  4 Cd 2.92, 4 Ag 2.92, 4 Zn 2.92
Cd  0.7500  0.2500  0.5000  4 Cd 2.92, 4 Ag 2.92, 4 Zn 2.92
Ag  0.5000  0.5000  0.0000  4 Zn 2.92, 8 Cd 2.92

- E_form: 12 meV per atom
- Total magnetization: 0.000 μB/f.u.
- Final energy: -7.24 eV/cell


No. 3
Here is a geometry-optimized Be2AlCl structure from Alexandria. Energies are from GGA-PBEsol.

Cell lengths 5.4236, 5.4236, 5.4236 Å; angles 43.73, 43.73, 43.73 degrees
With the nearest neighbours (Å) after each atom.
Fractional positions:
Be  0.1461  0.1461  0.1461  1 Cl 2.15, 3 Al 2.35
Be  0.8539  0.8539  0.8539  1 Cl 2.15, 3 Al 2.35
Al  0.5000  0.5000  0.5000  6 Be 2.35
Cl  0.0000  0.0000  0.0000  2 Be 2.15

- E_form (uncorrected): 0.01 eV/atom
- Total magnetization: 0.000 μB/f.u.
- Final energy: -14.06 eV/cell
- Polymorph energy (0 for the lowest one): 0 meV per atom


No. 4
Here is a geometry-optimized BeTlPt2 structure from Alexandria. Energies are from GGA-PBEsol.

Cell lengths 2.8301, 3.5789, 6.3212 Å; angles 90.00, 90.00, 90.00 degrees
With the nearest neighbours (Å) after each atom.
Fractional positions:
Be  0.0000  0.0000  0.0000  5 Pt 2.29-2.33
Tl  0.5000  0.5000  0.6334  5 Pt 2.80-2.85, 2 Tl 2.83
Pt  0.0000  0.0000  0.3627  1 Be 2.29
Pt  0.5000  0.5000  0.0770  4 Be 2.33

- E_form: -150 meV per atom
- Total magnetization: 0.000 μB/f.u.
- Final energy: -21.16 eV/cell
- Polymorph energy (0 for the lowest one): 0 meV per atom


No. 5
Here is a geometry-optimized TaCu2Re structure from Alexandria. Energies are from GGA-PBEsol.

Cell lengths 2.6309, 4.1841, 5.0680 Å; angles 90.00, 99.38, 90.00 degrees
With the nearest neighbours (Å) after each atom.
Fractional positions:
Ta  0.0000  0.0000  0.0000  7 Cu 2.63-2.76, 2 Ta 2.63, 2 Re 2.68
Cu  0.5794  0.5000  0.2425  4 Cu 2.42-2.63, 2 Re 2.68-2.69
Cu  0.6511  0.0000  0.4841  4 Cu 2.42-2.63, 1 Ta 2.63, 2 Re 2.70
Re  0.2395  0.5000  0.7121  2 Re 2.63, 7 Cu 2.68-2.74, 2 Ta 2.68

- E_form: 100 meV per atom
- Total magnetization: 0.000 μB/f.u.
- Final energy: -34.15 eV/cell
- Polymorph energy (0 for the lowest one): 0 meV per atom


No. 6
Here is a geometry-optimized LaAu3Cl structure from Alexandria. Energies are from GGA-PBEsol.

Cell lengths 5.5562, 5.5562, 5.5562 Å; angles 90.00, 90.00, 90.00 degrees
With the nearest neighbours (Å) after each atom.
Fractional positions:
La  0.0000  0.0000  0.0000  6 Au 2.78
Au  0.0000  0.0000  0.5000  2 La 2.78
Au  0.0000  0.5000  0.0000  2 La 2.78
Au  0.5000  0.0000  0.0000  2 La 2.78
Cl  0.5000  0.5000  0.5000  12 Au 3.93

- E_form (uncorrected): 0.63 eV/atom
- Total magnetization: 0.004 μB/f.u.
- Final energy: -15.97 eV/cell


> final energy of number 4 (BeTlPt2)?

-21.16 eV/cell


What did the third record say?
Here is a geometry-optimized Be2AlCl structure from Alexandria. Energies are from GGA-PBEsol.

Cell lengths 5.4236, 5.4236, 5.4236 Å; angles 43.73, 43.73, 43.73 degrees
With the nearest neighbours (Å) after each atom.
Fractional positions:
Be  0.1461  0.1461  0.1461  1 Cl 2.15, 3 Al 2.35
Be  0.8539  0.8539  0.8539  1 Cl 2.15, 3 Al 2.35
Al  0.5000  0.5000  0.5000  6 Be 2.35
Cl  0.0000  0.0000  0.0000  2 Be 2.15

- E_form (uncorrected): 0.01 eV/atom
- Total magnetization: 0.000 μB/f.u.
- Final energy: -14.06 eV/cell
- Polymorph energy (0 for the lowest one): 0 meV per atom